Zr5Pt after structural relaxation. Source: Alexandria via LeMat-Bulk, functional GGA-PBEsol.

Unit cell a=5.038 b=5.491 c=5.491 alpha=120.00 beta=90.00 gamma=90.00
Fractional coordinates of all 6 atoms:
Zr  0.000  0.667  0.333
Zr  0.500  0.500  0.500
Zr  0.000  0.333  0.667
Zr  0.500  0.500  0.000
Zr  0.500  0.000  0.500
Pt  0.000  0.000  0.000

Values from the calculation:
- Calculated formation energy: 567 meV/atom
- DFT total energy: -8.168 eV/atom
- Relative energy among the computed polymorphs: 906 meV per atom
- SG: P6/mmm


Zr2Pt3 after structural relaxation. Source: Alexandria via LeMat-Bulk, functional GGA-PBEsol.

Unit cell a=5.425 b=5.425 c=7.200 alpha=103.04 beta=103.04 gamma=113.65
Fractional coordinates of all 10 atoms:
Pt  0.427  0.526  0.213
Pt  0.985  0.985  0.000
Pt  0.464  0.064  0.287
Pt  0.235  0.735  0.500
Pt  0.314  0.214  0.787
Pt  0.776  0.177  0.713
Zr  0.018  0.160  0.404
Zr  0.756  0.614  0.596
Zr  0.410  0.768  0.904
Zr  0.864  0.506  0.096

Values from the calculation:
- Calculated formation energy: -1020 meV/atom
- DFT total energy: -8.834 eV/atom
- SG: Fdd2


ZrPt2 after structural relaxation. Source: Alexandria via LeMat-Bulk, functional GGA-PBEsol.

Unit cell a=2.793 b=4.573 c=4.573 alpha=120.00 beta=90.00 gamma=90.00
Fractional coordinates of all 3 atoms:
Zr  0.500  0.000  0.000
Pt  0.000  0.667  0.333
Pt  0.000  0.333  0.667

Values from the calculation:
- Calculated formation energy: -760 meV/atom
- DFT total energy: -8.432 eV/atom
- SG: P6/mmm


Zr4Pt after structural relaxation. Source: Alexandria via LeMat-Bulk, functional GGA-PBEsol.

Unit cell a=3.404 b=5.708 c=5.708 alpha=84.90 beta=72.65 gamma=72.65
Fractional coordinates of all 5 atoms:
Zr  0.410  0.376  0.804
Zr  0.214  0.196  0.376
Zr  0.786  0.804  0.624
Zr  0.590  0.624  0.196
Pt  0.000  0.000  0.000

Values from the calculation:
- Calculated formation energy: -422 meV/atom
- DFT total energy: -9.087 eV/atom
- Relative energy among the computed polymorphs: 0 meV per atom
- SG: I4/m


Zr5Pt after structural relaxation. Source: Alexandria via LeMat-Bulk, functional GGA-PBEsol.

Unit cell a=3.301 b=3.301 c=11.423 alpha=90.00 beta=90.00 gamma=90.00
Fractional coordinates of all 6 atoms:
Zr  0.000  0.000  0.500
Zr  0.000  0.000  0.857
Zr  0.500  0.500  0.319
Zr  0.500  0.500  0.681
Zr  0.000  0.000  0.143
Pt  0.500  0.500  0.000

Values from the calculation:
- Calculated formation energy: -338 meV/atom
- DFT total energy: -9.074 eV/atom
- Relative energy among the computed polymorphs: 0 meV per atom
- SG: P4/mmm


ZrPt8 after structural relaxation. Source: Alexandria via LeMat-Bulk, functional GGA-PBEsol.

Unit cell a=3.941 b=6.248 c=6.248 alpha=84.29 beta=71.62 gamma=71.62
Fractional coordinates of all 9 atoms:
Pt  0.000  0.332  0.668
Pt  0.000  0.668  0.332
Pt  0.335  0.330  0.000
Pt  0.335  0.000  0.330
Pt  0.665  0.000  0.670
Pt  0.332  0.668  0.668
Pt  0.668  0.332  0.332
Pt  0.665  0.670  0.000
Zr  0.000  0.000  0.000

Values from the calculation:
- Calculated formation energy: -509 meV/atom
- DFT total energy: -7.709 eV/atom
- SG: I4/mmm


ZrPt4 after structural relaxation. Source: Alexandria via LeMat-Bulk, functional GGA-PBEsol.

Unit cell a=3.991 b=4.891 c=4.891 alpha=80.42 beta=65.92 gamma=65.92
Fractional coordinates of all 5 atoms:
Pt  0.598  0.205  0.599
Pt  0.197  0.401  0.205
Pt  0.803  0.599  0.795
Pt  0.402  0.795  0.401
Zr  0.000  0.000  0.000

Values from the calculation:
- Calculated formation energy: -719 meV/atom
- DFT total energy: -8.108 eV/atom
- SG: I4/m


Zr5Pt3 after structural relaxation. Source: Alexandria via LeMat-Bulk, functional GGA-PBEsol.

Unit cell a=5.392 b=8.004 c=8.004 alpha=83.48 beta=70.31 gamma=70.31
Fractional coordinates of all 16 atoms:
Zr  0.250  0.500  0.500
Zr  0.421  0.296  0.863
Zr  0.217  0.704  0.863
Zr  0.750  0.500  0.500
Zr  0.079  0.137  0.704
Zr  0.921  0.863  0.296
Zr  0.579  0.704  0.137
Zr  0.283  0.137  0.296
Zr  0.783  0.296  0.137
Zr  0.717  0.863  0.704
Pt  0.834  0.500  0.831
Pt  0.250  0.000  0.000
Pt  0.750  0.000  0.000
Pt  0.666  0.169  0.500
Pt  0.334  0.831  0.500
Pt  0.166  0.500  0.169

Values from the calculation:
- Calculated formation energy: -833 meV/atom
- DFT total energy: -9.126 eV/atom
- Relative energy among the computed polymorphs: 0 meV per atom
- SG: I4/mcm


Zr5Pt3 after structural relaxation. Source: Alexandria via LeMat-Bulk, functional GGA-PBEsol.

Unit cell a=5.322 b=8.191 c=8.191 alpha=120.00 beta=90.00 gamma=90.00
Fractional coordinates of all 16 atoms:
Zr  0.000  0.667  0.333
Zr  0.500  0.667  0.333
Zr  0.750  0.754  0.754
Zr  0.750  0.000  0.246
Zr  0.250  0.000  0.754
Zr  0.500  0.333  0.667
Zr  0.250  0.754  0.000
Zr  0.250  0.246  0.246
Zr  0.750  0.246  0.000
Zr  0.000  0.333  0.667
Pt  0.250  0.398  0.000
Pt  0.750  0.000  0.602
Pt  0.250  0.602  0.602
Pt  0.250  0.000  0.398
Pt  0.750  0.398  0.398
Pt  0.750  0.602  0.000

Values from the calculation:
- Calculated formation energy: -831 meV/atom
- DFT total energy: -9.123 eV/atom
- Relative energy among the computed polymorphs: 3 meV per atom
- SG: P6_3/mcm


Zr9Pt11 after structural relaxation. Source: Alexandria via LeMat-Bulk, functional GGA-PBEsol.

Unit cell a=6.757 b=8.052 c=8.052 alpha=79.86 beta=65.19 gamma=65.19
Fractional coordinates of all 20 atoms:
Pt  0.250  0.500  0.500
Pt  0.905  0.658  0.113
Pt  0.562  0.113  0.342
Pt  0.500  0.000  0.000
Pt  0.018  0.887  0.658
Pt  0.676  0.342  0.887
Pt  0.438  0.887  0.658
Pt  0.324  0.658  0.113
Pt  0.750  0.500  0.500
Pt  0.095  0.342  0.887
Pt  0.982  0.113  0.342
Zr  0.753  0.666  0.828
Zr  0.307  0.598  0.789
Zr  0.419  0.828  0.334
Zr  0.905  0.789  0.402
Zr  0.581  0.172  0.666
Zr  0.095  0.211  0.598
Zr  0.693  0.402  0.211
Zr  0.247  0.334  0.172
Zr  0.000  0.000  0.000

Values from the calculation:
- Calculated formation energy: -1005 meV/atom
- DFT total energy: -8.926 eV/atom
- SG: I4/m


ZrPt2 after structural relaxation. Source: Alexandria via LeMat-Bulk, functional GGA-PBEsol.

Unit cell a=4.101 b=5.677 c=8.617 alpha=90.00 beta=90.00 gamma=90.00
Fractional coordinates of all 12 atoms:
Pt  0.250  0.621  0.263
Pt  0.750  0.854  0.426
Pt  0.250  0.646  0.926
Pt  0.750  0.379  0.737
Pt  0.250  0.146  0.574
Pt  0.250  0.121  0.237
Pt  0.750  0.879  0.763
Pt  0.750  0.354  0.074
Zr  0.250  0.656  0.604
Zr  0.250  0.156  0.896
Zr  0.750  0.344  0.396
Zr  0.750  0.844  0.104

Values from the calculation:
- Calculated formation energy: -1024 meV/atom
- DFT total energy: -8.696 eV/atom
- SG: Pnma


ZrPt2 after structural relaxation. Source: Alexandria via LeMat-Bulk, functional GGA-PBEsol.

Unit cell a=4.095 b=4.956 c=5.652 alpha=104.88 beta=90.00 gamma=114.40
Fractional coordinates of all 6 atoms:
Pt  0.672  0.343  0.812
Pt  0.000  0.000  0.500
Pt  0.000  0.000  0.000
Pt  0.328  0.657  0.188
Zr  0.352  0.704  0.699
Zr  0.648  0.296  0.301

Values from the calculation:
- Calculated formation energy: -995 meV/atom
- DFT total energy: -8.667 eV/atom
- SG: C2/m


Zr3Pt4 after structural relaxation. Source: Alexandria via LeMat-Bulk, functional GGA-PBEsol.

Unit cell a=5.506 b=7.448 c=7.448 alpha=114.14 beta=104.26 gamma=104.26
Fractional coordinates of all 14 atoms:
Pt  0.941  0.514  0.676
Pt  0.500  0.000  0.000
Pt  0.735  0.676  0.162
Pt  0.059  0.486  0.324
Pt  0.265  0.324  0.838
Pt  0.573  0.838  0.514
Pt  0.000  0.000  0.000
Pt  0.427  0.162  0.486
Zr  0.511  0.612  0.740
Zr  0.229  0.740  0.129
Zr  0.101  0.871  0.612
Zr  0.489  0.388  0.260
Zr  0.899  0.129  0.388
Zr  0.771  0.260  0.871

Values from the calculation:
- Calculated formation energy: -1065 meV/atom
- DFT total energy: -8.939 eV/atom
- SG: R-3


Zr4Pt after structural relaxation. Source: Alexandria via LeMat-Bulk, functional GGA-PBEsol.

Unit cell a=3.726 b=3.726 c=8.301 alpha=102.97 beta=102.97 gamma=90.00
Fractional coordinates of all 5 atoms:
Zr  0.750  0.250  0.500
Zr  0.584  0.584  0.169
Zr  0.250  0.750  0.500
Zr  0.416  0.416  0.831
Pt  0.000  0.000  0.000

Values from the calculation:
- Calculated formation energy: 324 meV/atom
- DFT total energy: -8.340 eV/atom
- Relative energy among the computed polymorphs: 747 meV per atom
- SG: I4/mmm


Zr5Pt after structural relaxation. Source: Alexandria via LeMat-Bulk, functional GGA-PBEsol.

Unit cell a=3.226 b=5.628 c=7.637 alpha=107.42 beta=90.00 gamma=106.65
Fractional coordinates of all 6 atoms:
Pt  0.990  0.979  0.994
Zr  0.341  0.682  0.717
Zr  0.041  0.082  0.589
Zr  0.408  0.817  0.230
Zr  0.682  0.364  0.946
Zr  0.705  0.409  0.358

Values from the calculation:
- Calculated formation energy: -320 meV/atom
- DFT total energy: -9.055 eV/atom
- Relative energy among the computed polymorphs: 19 meV per atom
- SG: Cm


PuSi2Rh2 after structural relaxation. Source: Alexandria via LeMat-Bulk, functional GGA-PBEsol.

Unit cell a=3.984 b=3.984 c=5.763 alpha=110.22 beta=110.22 gamma=90.00
Last column: magnetic moment on the atom in μB.
Fractional coordinates of all 5 atoms:
Rh  0.750  0.250  0.500  0.01
Rh  0.250  0.750  0.500  0.01
Si  0.621  0.621  0.241  -0.01
Si  0.379  0.379  0.759  -0.01
Pu  0.000  0.000  0.000  5.01

Values from the calculation:
- ΔE_f (raw): -0.845 eV/atom
- DFT total energy: -9.430 eV/atom
- SG: I4/mmm


PuRu after structural relaxation. Source: Alexandria via LeMat-Bulk, functional GGA-PBEsol.

Unit cell a=3.311 b=3.311 c=3.311 alpha=90.00 beta=90.00 gamma=90.00
Last column: magnetic moment on the atom in μB.
Fractional coordinates of all 2 atoms:
Pu  0.500  0.500  0.500  4.75
Ru  0.000  0.000  0.000  -0.62

Values from the calculation:
- Calculated formation energy: 130 meV/atom
- DFT total energy: -12.534 eV/atom
- SG: Pm-3m


PuSi2Ru2 after structural relaxation. Source: Alexandria via LeMat-Bulk, functional GGA-PBEsol.

Unit cell a=4.089 b=4.089 c=5.625 alpha=111.31 beta=111.31 gamma=90.00
Last column: magnetic moment on the atom in μB.
Fractional coordinates of all 5 atoms:
Ru  0.750  0.250  0.500  -0.11
Ru  0.250  0.750  0.500  -0.11
Pu  0.000  0.000  0.000  4.94
Si  0.628  0.628  0.256  -0.01
Si  0.372  0.372  0.744  -0.01

Values from the calculation:
- ΔE_f (raw): -0.601 eV/atom
- DFT total energy: -9.999 eV/atom
- SG: I4/mmm


Pu4Sb3 after structural relaxation. Source: Alexandria via LeMat-Bulk, functional GGA-PBEsol.

Unit cell a=7.870 b=7.870 c=7.870 alpha=109.47 beta=109.47 gamma=109.47
Last column: magnetic moment on the atom in μB.
Fractional coordinates of all 14 atoms:
Pu  0.500  0.657  0.500  5.43
Pu  0.157  0.000  0.000  5.43
Pu  0.343  0.343  0.843  5.43
Pu  0.500  0.157  0.500  5.43
Pu  0.000  0.500  0.157  5.43
Pu  0.000  0.500  0.657  5.43
Pu  0.657  0.000  0.000  5.43
Pu  0.843  0.843  0.343  5.43
Sb  0.375  0.750  0.125  -0.12
Sb  0.875  0.125  0.750  -0.12
Sb  0.750  0.625  0.875  -0.12
Sb  0.625  0.375  0.250  -0.12
Sb  0.250  0.875  0.625  -0.12
Sb  0.125  0.250  0.375  -0.12

Values from the calculation:
- ΔE_f (raw): -0.301 eV/atom
- DFT total energy: -10.914 eV/atom
- SG: I-43d


PuSbTe after structural relaxation. Source: Alexandria via LeMat-Bulk, functional GGA-PBEsol.

Unit cell a=4.251 b=4.251 c=8.763 alpha=90.00 beta=90.00 gamma=90.00
Last column: magnetic moment on the atom in μB.
Fractional coordinates of all 6 atoms:
Te  0.000  0.500  0.362  -0.14
Te  0.500  0.000  0.638  -0.14
Sb  0.500  0.500  0.000  -0.07
Sb  0.000  0.000  0.000  -0.07
Pu  0.000  0.500  0.722  5.03
Pu  0.500  0.000  0.278  5.03

Values from the calculation:
- ΔE_f (raw): -0.662 eV/atom
- DFT total energy: -8.408 eV/atom
- SG: P4/nmm


PuSe after structural relaxation. Source: Alexandria via LeMat-Bulk, functional GGA-PBEsol.

Unit cell a=4.053 b=4.053 c=4.053 alpha=60.00 beta=60.00 gamma=60.00
Last column: magnetic moment on the atom in μB.
Fractional coordinates of all 2 atoms:
Se  0.500  0.500  0.500  -0.09
Pu  0.000  0.000  0.000  5.33

Values from the calculation:
- ΔE_f (raw): -1.241 eV/atom
- DFT total energy: -10.743 eV/atom
- SG: Fm-3m


Pu3Se4 after structural relaxation. Source: Alexandria via LeMat-Bulk, functional GGA-PBEsol.

Unit cell a=7.398 b=7.398 c=7.398 alpha=109.47 beta=109.47 gamma=109.47
Last column: magnetic moment on the atom in μB.
Fractional coordinates of all 14 atoms:
Se  0.000  0.500  0.151  -0.11
Se  0.151  0.000  0.000  -0.11
Se  0.500  0.151  0.500  -0.11
Se  0.651  0.000  0.000  -0.11
Se  0.500  0.651  0.500  -0.11
Se  0.000  0.500  0.651  -0.11
Se  0.849  0.849  0.349  -0.11
Se  0.349  0.349  0.849  -0.11
Pu  0.375  0.750  0.125  5.24
Pu  0.750  0.625  0.875  5.24
Pu  0.125  0.250  0.375  5.24
Pu  0.250  0.875  0.625  5.24
Pu  0.875  0.125  0.750  5.24
Pu  0.625  0.375  0.250  5.24

Values from the calculation:
- ΔE_f (raw): -1.340 eV/atom
- DFT total energy: -10.035 eV/atom
- SG: I-43d


PuSe2 after structural relaxation. Source: Alexandria via LeMat-Bulk, functional GGA-PBEsol.

Unit cell a=4.031 b=4.031 c=8.020 alpha=90.00 beta=90.00 gamma=90.00
Last column: magnetic moment on the atom in μB.
Fractional coordinates of all 6 atoms:
Pu  0.000  0.500  0.275  5.02
Pu  0.500  0.000  0.725  5.02
Se  0.500  0.000  0.360  -0.13
Se  0.000  0.000  0.000  -0.07
Se  0.500  0.500  0.000  -0.07
Se  0.000  0.500  0.640  -0.13

Values from the calculation:
- ΔE_f (raw): -1.137 eV/atom
- DFT total energy: -8.755 eV/atom
- SG: P4/nmm


PuSi3 after structural relaxation. Source: Alexandria via LeMat-Bulk, functional GGA-PBEsol.

Unit cell a=4.354 b=5.783 c=5.783 alpha=120.00 beta=90.00 gamma=90.00
Last column: magnetic moment on the atom in μB.
Fractional coordinates of all 8 atoms:
Pu  0.750  0.333  0.667  4.64
Pu  0.250  0.667  0.333  4.64
Si  0.750  0.853  0.705  -0.04
Si  0.250  0.705  0.853  -0.04
Si  0.250  0.147  0.853  -0.04
Si  0.250  0.147  0.295  -0.04
Si  0.750  0.853  0.147  -0.04
Si  0.750  0.295  0.147  -0.04

Values from the calculation:
- ΔE_f (raw): -0.342 eV/atom
- DFT total energy: -8.441 eV/atom
- SG: P6_3/mmc